No. 1
Density functional theory data (PBE) for an optimized crystal structure of Zn2PPt.

a b c (Å): 9.0033 3.0370 4.4004
angles (deg): 90.00 95.15 90.00
Space group C2/m (No. 12)
Asymmetric unit:
Zn1 0.2403 0.0000 0.2454 [4 per cell]
P1 0.0000 0.0000 0.5000 [2 per cell]
Pt1 0.0000 0.5000 0.0000 [2 per cell]

Properties
Total DFT energy (no corrections), eV/f.u.: -14.3

---

No. 2
Density functional theory data (PBE) for an optimized crystal structure of ZnPPt2.

a b c (Å): 2.8686 3.9056 5.5065
angles (deg): 90.00 90.00 90.00
Space group Pmmm (No. 47)
Asymmetric unit:
Zn1 0.0000 0.0000 0.0000 [1 per cell]
P1 0.5000 0.0000 0.5000 [1 per cell]
Pt1 0.5000 0.5000 0.2462 [2 per cell]

Properties
Total DFT energy (no corrections), eV/f.u.: -19.9
Offset from the most stable computed form, meV/atom: 98.6

---

No. 3
Density functional theory data (PBE) for an optimized crystal structure of Zn2PPt.

a b c (Å): 6.2166 6.2166 6.2166
angles (deg): 90.00 90.00 90.00
Space group F-43m (No. 216)
Asymmetric unit:
Zn1 0.0000 0.0000 0.0000 [4 per cell]
Zn2 0.2500 0.2500 0.2500 [4 per cell]
P1 0.0000 0.0000 0.5000 [4 per cell]
Pt1 0.2500 0.2500 0.7500 [4 per cell]

Properties
Total DFT energy (no corrections), eV/f.u.: -13.9

---

No. 4
Density functional theory data (PBE) for an optimized crystal structure of ZnPPt2.

a b c (Å): 7.8424 3.1260 5.4410
angles (deg): 90.00 100.81 90.00
Space group Cm (No. 8)
Asymmetric unit:
Zn1 0.0000 0.0000 0.0000 [2 per cell]
P1 0.3656 0.0000 0.5540 [2 per cell]
Pt1 0.1731 0.5000 0.7236 [2 per cell]
Pt2 0.2530 0.5000 0.2447 [2 per cell]

Properties
Total DFT energy (no corrections), eV/f.u.: -20.3
Offset from the most stable computed form, meV/atom: 0.0

---

No. 5
Density functional theory data (PBE) for an optimized crystal structure of ZnPPt2.

a b c (Å): 6.2662 6.2662 6.2662
angles (deg): 90.00 90.00 90.00
Space group F-43m (No. 216)
Asymmetric unit:
Zn1 0.0000 0.0000 0.0000 [4 per cell]
P1 0.2500 0.2500 0.7500 [4 per cell]
Pt1 0.0000 0.0000 0.5000 [4 per cell]
Pt2 0.2500 0.2500 0.2500 [4 per cell]

Properties
Total DFT energy (no corrections), eV/f.u.: -18.5
Offset from the most stable computed form, meV/atom: 443.6

---

No. 6
Density functional theory data (PBE) for an optimized crystal structure of ZnPPt2.

a b c (Å): 3.0473 3.0473 23.5168
angles (deg): 90.00 90.00 120.00
Space group R3m (No. 160, hexagonal axes)
Asymmetric unit:
Zn1 0.0000 0.0000 0.0000 [3 per cell]
P1 0.0000 0.0000 0.7536 [3 per cell]
Pt1 0.0000 0.0000 0.2508 [3 per cell]
Pt2 0.0000 0.0000 0.4874 [3 per cell]

Properties
Total DFT energy (no corrections), eV/f.u.: -19.3
Offset from the most stable computed form, meV/atom: 253.4

---

No. 7
Density functional theory data (PBE) for an optimized crystal structure of ZnPPt2.

a b c (Å): 3.7031 3.7031 8.6624
angles (deg): 90.00 90.00 90.00
Space group I-4m2 (No. 119)
Asymmetric unit:
Zn1 0.0000 0.0000 0.0000 [2 per cell]
P1 0.0000 0.5000 0.7500 [2 per cell]
Pt1 0.0000 0.0000 0.5000 [2 per cell]
Pt2 0.0000 0.5000 0.2500 [2 per cell]

Properties
Total DFT energy (no corrections), eV/f.u.: -19.4
Offset from the most stable computed form, meV/atom: 218.0

---

No. 8
Density functional theory data (PBE) for an optimized crystal structure of Zn2PPt.

a b c (Å): 3.2941 3.2941 21.7212
angles (deg): 90.00 90.00 120.00
Space group R3m (No. 160, hexagonal axes)
Asymmetric unit:
Zn1 0.0000 0.0000 0.0000 [3 per cell]
Zn2 0.0000 0.0000 0.2465 [3 per cell]
P1 0.0000 0.0000 0.4864 [3 per cell]
Pt1 0.0000 0.0000 0.7570 [3 per cell]

Properties
Total DFT energy (no corrections), eV/f.u.: -14.3

---

No. 9
Density functional theory data (PBE) for an optimized crystal structure of ZnP2Pt.

a b c (Å): 3.2405 3.2405 20.3104
angles (deg): 90.00 90.00 120.00
Space group R3m (No. 160, hexagonal axes)
Asymmetric unit:
Zn1 0.0000 0.0000 0.0000 [3 per cell]
P1 0.0000 0.0000 0.4916 [3 per cell]
P2 0.0000 0.0000 0.7579 [3 per cell]
Pt1 0.0000 0.0000 0.2373 [3 per cell]

Properties
Total DFT energy (no corrections), eV/f.u.: -18.5

---

No. 10
Density functional theory data (PBE) for an optimized crystal structure of ZnP2Pt.

a b c (Å): 2.9190 2.9190 7.7838
angles (deg): 90.00 90.00 90.00
Space group P4mm (No. 99)
Asymmetric unit:
Zn1 0.0000 0.0000 0.0000 [1 per cell]
P1 0.0000 0.0000 0.5720 [1 per cell]
P2 0.5000 0.5000 0.2164 [1 per cell]
Pt1 0.5000 0.5000 0.7484 [1 per cell]

Properties
Total DFT energy (no corrections), eV/f.u.: -17.6

---

No. 11
Density functional theory data (PBE) for an optimized crystal structure of Zn2PPt2.

a b c (Å): 7.3705 7.3705 2.8519
angles (deg): 90.00 90.00 90.00
Space group P4/mbm (No. 127)
Asymmetric unit:
Zn1 0.1251 0.3749 0.0000 [4 per cell]
P1 0.0000 0.0000 0.5000 [2 per cell]
Pt1 0.1737 0.6737 0.5000 [4 per cell]

Properties
Total DFT energy (no corrections), eV/f.u.: -21.2
Offset from the most stable computed form, meV/atom: 0.0

---

No. 12
Density functional theory data (PBE) for an optimized crystal structure of Zn3PPt.

a b c (Å): 4.5335 4.5335 4.5335
angles (deg): 90.00 90.00 90.00
Space group Pm-3m (No. 221)
Asymmetric unit:
Zn1 0.0000 0.0000 0.5000 [3 per cell]
P1 0.0000 0.0000 0.0000 [1 per cell]
Pt1 0.5000 0.5000 0.5000 [1 per cell]

Properties
Total DFT energy (no corrections), eV/f.u.: -13.1
Offset from the most stable computed form, meV/atom: 31.5

---

No. 13
Density functional theory data (PBE) for an optimized crystal structure of ZnPPt2.

a b c (Å): 2.9650 2.9650 23.7103
angles (deg): 90.00 90.00 120.00
Space group R-3m (No. 166, hexagonal axes)
Asymmetric unit:
Zn1 0.0000 0.0000 0.0000 [3 per cell]
P1 0.0000 0.0000 0.5000 [3 per cell]
Pt1 0.0000 0.0000 0.2434 [6 per cell]

Properties
Total DFT energy (no corrections), eV/f.u.: -19.7
Offset from the most stable computed form, meV/atom: 145.3

---

No. 14
Density functional theory data (PBE) for an optimized crystal structure of ZnPPt2.

a b c (Å): 4.5205 4.5205 2.9017
angles (deg): 90.00 90.00 90.00
Space group P4/mmm (No. 123)
Asymmetric unit:
Zn1 0.0000 0.0000 0.0000 [1 per cell]
P1 0.5000 0.5000 0.0000 [1 per cell]
Pt1 0.0000 0.5000 0.5000 [2 per cell]

Properties
Total DFT energy (no corrections), eV/f.u.: -19.5
Offset from the most stable computed form, meV/atom: 192.2

---

No. 15
Density functional theory data (PBE) for an optimized crystal structure of Zn2PPt.

a b c (Å): 2.8229 2.8229 7.6954
angles (deg): 90.00 90.00 90.00
Space group P4/mmm (No. 123)
Asymmetric unit:
Zn1 0.0000 0.0000 0.2343 [2 per cell]
P1 0.5000 0.5000 0.5000 [1 per cell]
Pt1 0.5000 0.5000 0.0000 [1 per cell]

Properties
Total DFT energy (no corrections), eV/f.u.: -14.3

---

No. 16
Density functional theory data (PBE) for an optimized crystal structure of ZnP2Pt.

a b c (Å): 4.8363 4.8363 5.2222
angles (deg): 90.00 90.00 90.00
Space group I4/mmm (No. 139)
Asymmetric unit:
Zn1 0.0000 0.0000 0.0000 [2 per cell]
P1 0.0000 0.5000 0.2500 [4 per cell]
Pt1 0.0000 0.0000 0.5000 [2 per cell]

Properties
Total DFT energy (no corrections), eV/f.u.: -17.5

---

No. 17
Density functional theory data (PBE) for an optimized crystal structure of Zn2PPt.

a b c (Å): 3.8573 3.8573 7.8822
angles (deg): 90.00 90.00 90.00
Space group I4/mmm (No. 139)
Asymmetric unit:
Zn1 0.0000 0.5000 0.2500 [4 per cell]
P1 0.0000 0.0000 0.0000 [2 per cell]
Pt1 0.0000 0.0000 0.5000 [2 per cell]

Properties
Total DFT energy (no corrections), eV/f.u.: -14.4

---

No. 18
Density functional theory data (PBE) for an optimized crystal structure of ZnP2Pt.

a b c (Å): 5.1172 6.9392 3.4180
angles (deg): 90.00 90.00 90.00
Space group Cmmm (No. 65)
Asymmetric unit:
Zn1 0.0000 0.0000 0.0000 [2 per cell]
P1 0.2500 0.2500 0.5000 [4 per cell]
Pt1 0.0000 0.5000 0.0000 [2 per cell]

Properties
Total DFT energy (no corrections), eV/f.u.: -17.6

---

No. 19
Density functional theory data (PBE) for an optimized crystal structure of ZnP2Pt.

a b c (Å): 6.2500 6.2500 6.2500
angles (deg): 90.00 90.00 90.00
Space group F-43m (No. 216)
Asymmetric unit:
Zn1 0.0000 0.0000 0.0000 [4 per cell]
P1 0.0000 0.0000 0.5000 [4 per cell]
P2 0.2500 0.2500 0.2500 [4 per cell]
Pt1 0.2500 0.2500 0.7500 [4 per cell]

Properties
Total DFT energy (no corrections), eV/f.u.: -16.8

---

No. 20
Density functional theory data (PBE) for an optimized crystal structure of Zn2PPt.

a b c (Å): 7.0960 7.0960 5.0476
angles (deg): 90.00 90.00 90.00
Space group I-42d (No. 122)
Asymmetric unit:
Zn1 0.2281 0.2500 0.1250 [8 per cell]
P1 0.0000 0.0000 0.0000 [4 per cell]
Pt1 0.0000 0.0000 0.5000 [4 per cell]

Properties
Total DFT energy (no corrections), eV/f.u.: -13.9